*w*
First-principles (PBE) data for a relaxed NaCdCoTe crystal, as listed in the Open Quantum Materials Database.

Cell and atoms, written as POSCAR:
```
NaCdCoTe
1.0
0.000 3.558 3.558
3.558 0.000 3.558
3.558 3.558 0.000
Na Cd Co Te
1 1 1 1
Direct
0.000 0.000 0.000
0.500 0.500 0.500
0.750 0.750 0.750
0.250 0.250 0.250
```

***

*x*
First-principles (PBE) data for a relaxed NaCdCoTe crystal, as listed in the Open Quantum Materials Database.

Cell and atoms, written as POSCAR:
```
NaCdCoTe
1.0
0.000 3.403 3.403
3.403 0.000 3.403
3.403 3.403 0.000
Na Cd Co Te
1 1 1 1
Direct
0.000 0.000 0.000
0.750 0.750 0.750
0.500 0.500 0.500
0.250 0.250 0.250
```

***

*x* ends up most stable, edging out the next structure by 0.190 eV/atom.

***

*w*
First-principles (PBE) data for a relaxed NbCdCo crystal, as listed in the Open Quantum Materials Database.

Cell and atoms, written as POSCAR:
```
NbCdCo
1.0
0.000 3.046 3.046
3.046 0.000 3.046
3.046 3.046 0.000
Nb Cd Co
1 1 1
Direct
0.000 0.000 0.000
0.750 0.750 0.750
0.500 0.500 0.500
```

***

*x*
First-principles (PBE) data for a relaxed NbCdCo crystal, as listed in the Open Quantum Materials Database.

Cell and atoms, written as POSCAR:
```
NbCdCo
1.0
0.000 3.075 3.075
3.075 0.000 3.075
3.075 3.075 0.000
Nb Cd Co
1 1 1
Direct
0.000 0.000 0.000
0.250 0.250 0.250
0.750 0.750 0.750
```

***

*x* ends up most stable, edging out the next structure by 0.162 eV/atom.

***

*w*
First-principles (PBE) data for a relaxed CdCoSiNi crystal, as listed in the Open Quantum Materials Database.

Cell and atoms, written as POSCAR:
```
CdCoSiNi
1.0
0.000 2.964 2.964
2.964 0.000 2.964
2.964 2.964 0.000
Cd Co Si Ni
1 1 1 1
Direct
0.000 0.000 0.000
0.750 0.750 0.750
0.500 0.500 0.500
0.250 0.250 0.250
```

***

*x*
First-principles (PBE) data for a relaxed CdCoSiNi crystal, as listed in the Open Quantum Materials Database.

Cell and atoms, written as POSCAR:
```
CdCoSiNi
1.0
0.000 2.985 2.985
2.985 0.000 2.985
2.985 2.985 0.000
Cd Co Si Ni
1 1 1 1
Direct
0.000 0.000 0.000
0.500 0.500 0.500
0.250 0.250 0.250
0.750 0.750 0.750
```

***

*w* ends up most stable, edging out the next structure by 0.228 eV/atom.